A plane-wave DFT calculation with GGA-PBE was carried out for a relaxed structure of Dy6Er5Tm2.

```
data_Dy6Er5Tm2
_chemical_formula_sum 'Dy12 Er10 Tm4'
_cell_length_a 3.539
_cell_length_b 11.491
_cell_length_c 19.999
_cell_angle_alpha 90.00
_cell_angle_beta 90.00
_cell_angle_gamma 90.00
_symmetry_space_group_name_H-M 'P 1'
_symmetry_Int_Tables_number 1
_symmetry_space_group_name_Hall 'P 1'
loop_
_atom_site_label
_atom_site_type_symbol
_atom_site_fract_x
_atom_site_fract_y
_atom_site_fract_z
Dy1 Dy 0.000 0.084 0.368
Dy2 Dy 0.000 0.916 0.632
Dy3 Dy 0.000 0.584 0.132
Dy4 Dy 0.000 0.416 0.868
Dy5 Dy 0.500 0.328 0.136
Dy6 Dy 0.500 0.672 0.864
Dy7 Dy 0.500 0.828 0.364
Dy8 Dy 0.500 0.172 0.636
Dy9 Dy 0.000 0.559 0.419
Dy10 Dy 0.000 0.441 0.581
Dy11 Dy 0.000 0.059 0.081
Dy12 Dy 0.000 0.941 0.919
Er1 Er 0.500 0.302 0.449
Er2 Er 0.500 0.698 0.551
Er3 Er 0.500 0.802 0.051
Er4 Er 0.500 0.198 0.949
Er5 Er 0.500 0.591 0.273
Er6 Er 0.500 0.409 0.727
Er7 Er 0.500 0.091 0.227
Er8 Er 0.500 0.909 0.773
Er9 Er 0.500 0.500 0.000
Er10 Er 0.500 0.000 0.500
Tm1 Tm 0.000 0.334 0.291
Tm2 Tm 0.000 0.666 0.709
Tm3 Tm 0.000 0.834 0.209
Tm4 Tm 0.000 0.166 0.791
```

The space group is No. 55. As for the calculated volume: 813 Å³/cell. The value obtained for the total magnetization is 0.000 μB/cell. For the density of states at the Fermi level, the calculation gives 15.43 states/eV/f.u. As for the formation energy: 101.3 meV/atom.

---

A plane-wave DFT calculation with GGA-PBE was carried out for a relaxed structure of KNaHgPt.

```
data_KNaHgPt
_chemical_formula_sum 'K1 Na1 Hg1 Pt1'
_cell_length_a 5.131
_cell_length_b 5.131
_cell_length_c 5.131
_cell_angle_alpha 60.00
_cell_angle_beta 60.00
_cell_angle_gamma 60.00
_symmetry_space_group_name_H-M 'P 1'
_symmetry_Int_Tables_number 1
_symmetry_space_group_name_Hall 'P 1'
loop_
_atom_site_label
_atom_site_type_symbol
_atom_site_fract_x
_atom_site_fract_y
_atom_site_fract_z
Na1 Na 0.500 0.500 0.500
K1 K 0.250 0.250 0.250
Hg1 Hg 0.000 0.000 0.000
Pt1 Pt 0.750 0.750 0.750
```

The space group is No. 216. As for the calculated volume: 96 Å³/cell. The value obtained for the total magnetization is 0.000 μB/cell. For the density of states at the Fermi level, the calculation gives 1.11 states/eV/f.u. As for the formation energy: -71.9 meV/atom.

---

- Number 2 is which compound?
  KNaHgPt

---

- Look up the formation energy of the first one.
  101.3 meV/atom

---

- Among the records above, which one has the highest calculated volume?
  Dy6Er5Tm2